[1]
A geometry-optimized Pm4U3PaN8 structure, computed with PBE.

Cell lengths 7.059, 7.059, 7.059 Å; angles 59.83, 59.83, 59.83 degrees
Fractional positions:
1 Pm 0.000 0.000 0.000
2 Pm 0.000 0.500 0.500
3 Pm 0.500 0.000 0.500
4 Pm 0.500 0.500 0.000
5 U 0.000 0.000 0.500
6 U 0.000 0.500 0.000
7 U 0.500 0.000 0.000
8 Pa 0.500 0.500 0.500
9 N 0.234 0.741 0.741
10 N 0.238 0.238 0.238
11 N 0.259 0.259 0.766
12 N 0.259 0.766 0.259
13 N 0.741 0.234 0.741
14 N 0.741 0.741 0.234
15 N 0.762 0.762 0.762
16 N 0.766 0.259 0.259

M_tot in μB/f.u.: 3.08
VASP energy in eV/f.u.: -152.3

[2]
A geometry-optimized Pm3UPa2N6 structure, computed with PBE.

Cell lengths 6.134, 6.134, 6.121 Å; angles 99.62, 99.62, 120.00 degrees
Fractional positions:
1 Pm 0.000 0.000 0.000
2 Pm 0.333 0.667 0.000
3 Pm 0.667 0.333 0.000
4 U 0.500 0.500 0.500
5 Pa 0.167 0.833 0.500
6 Pa 0.833 0.167 0.500
7 N 0.102 0.429 0.286
8 N 0.245 0.245 0.715
9 N 0.429 0.102 0.286
10 N 0.571 0.898 0.714
11 N 0.755 0.755 0.285
12 N 0.898 0.571 0.714

M_tot in μB/f.u.: 0.00
VASP energy in eV/f.u.: -112.9

[3]
A geometry-optimized PmPaVN3 structure, computed with PBE.

Cell lengths 7.149, 3.503, 7.883 Å; angles 90.00, 97.88, 90.00 degrees
Fractional positions:
1 Pm 0.155 0.250 0.158
2 Pm 0.845 0.750 0.842
3 Pa 0.353 0.750 0.832
4 Pa 0.647 0.250 0.168
5 V 0.081 0.250 0.599
6 V 0.919 0.750 0.401
7 N 0.119 0.250 0.849
8 N 0.168 0.750 0.538
9 N 0.421 0.750 0.126
10 N 0.579 0.250 0.874
11 N 0.832 0.250 0.462
12 N 0.881 0.750 0.151

M_tot in μB/f.u.: 0.00
VASP energy in eV/f.u.: -55.7

[4]
A geometry-optimized PmPa2VN4 structure, computed with PBE.

Cell lengths 6.111, 6.111, 11.659 Å; angles 90.00, 90.00, 147.60 degrees
Fractional positions:
1 Pm 0.107 0.893 0.750
2 Pm 0.893 0.107 0.250
3 Pa 0.367 0.633 0.552
4 Pa 0.367 0.633 0.948
5 Pa 0.633 0.367 0.052
6 Pa 0.633 0.367 0.448
7 V 0.157 0.843 0.250
8 V 0.843 0.157 0.750
9 N 0.000 0.000 0.000
10 N 0.000 0.000 0.500
11 N 0.271 0.729 0.123
12 N 0.271 0.729 0.377
13 N 0.441 0.559 0.750
14 N 0.559 0.441 0.250
15 N 0.729 0.271 0.623
16 N 0.729 0.271 0.877

M_tot in μB/f.u.: 0.00
VASP energy in eV/f.u.: -76.7

[5]
A geometry-optimized Pm2PaV2N7 structure, computed with PBE.

Cell lengths 3.817, 3.817, 10.335 Å; angles 100.05, 100.05, 89.73 degrees
Fractional positions:
1 Pm 0.203 0.203 0.368
2 Pm 0.797 0.797 0.632
3 Pa 0.000 0.000 0.000
4 V 0.372 0.372 0.802
5 V 0.628 0.628 0.198
6 N 0.087 0.579 0.178
7 N 0.317 0.317 0.607
8 N 0.421 0.913 0.822
9 N 0.500 0.500 0.000
10 N 0.579 0.087 0.178
11 N 0.683 0.683 0.393
12 N 0.913 0.421 0.822

M_tot in μB/f.u.: 0.00
VASP energy in eV/f.u.: -109.0

[6]
A geometry-optimized PmPaVN4 structure, computed with PBE.

Cell lengths 5.817, 5.477, 6.768 Å; angles 90.00, 108.27, 90.00 degrees
Fractional positions:
1 Pm 0.208 0.250 0.427
2 Pm 0.792 0.750 0.573
3 Pa 0.281 0.250 0.947
4 Pa 0.719 0.750 0.053
5 V 0.263 0.750 0.193
6 V 0.737 0.250 0.807
7 N 0.053 0.750 0.351
8 N 0.058 0.750 0.930
9 N 0.478 0.502 0.222
10 N 0.478 0.998 0.222
11 N 0.522 0.002 0.778
12 N 0.522 0.498 0.778
13 N 0.942 0.250 0.070
14 N 0.947 0.250 0.649

M_tot in μB/f.u.: 0.00
VASP energy in eV/f.u.: -65.2

[7]
A geometry-optimized Pm3Pa3WN8 structure, computed with PBE.

Cell lengths 6.976, 6.976, 6.976 Å; angles 59.22, 59.22, 59.22 degrees
Fractional positions:
1 Pm 0.000 0.500 0.500
2 Pm 0.500 0.000 0.500
3 Pm 0.500 0.500 0.000
4 Pa 0.000 0.000 0.500
5 Pa 0.000 0.500 0.000
6 Pa 0.500 0.000 0.000
7 W 0.500 0.500 0.500
8 N 0.241 0.241 0.241
9 N 0.258 0.721 0.721
10 N 0.279 0.279 0.742
11 N 0.279 0.742 0.279
12 N 0.721 0.258 0.721
13 N 0.721 0.721 0.258
14 N 0.742 0.279 0.279
15 N 0.759 0.759 0.759

M_tot in μB/f.u.: 0.00
VASP energy in eV/f.u.: -142.1

[8]
A geometry-optimized Pm2PaWN6 structure, computed with PBE.

Cell lengths 5.616, 5.616, 4.906 Å; angles 90.00, 90.00, 90.00 degrees
Fractional positions:
1 Pm 0.000 0.500 0.000
2 Pm 0.500 0.000 0.000
3 Pa 0.000 0.000 0.574
4 W 0.500 0.500 0.568
5 N 0.000 0.000 0.121
6 N 0.264 0.264 0.698
7 N 0.264 0.736 0.698
8 N 0.500 0.500 0.196
9 N 0.736 0.264 0.698
10 N 0.736 0.736 0.698

M_tot in μB/f.u.: 0.02
VASP energy in eV/f.u.: -91.9

[9]
A geometry-optimized PmYPaN3 structure, computed with PBE.

Cell lengths 6.173, 3.404, 10.015 Å; angles 90.00, 92.24, 90.00 degrees
Fractional positions:
1 Pm 0.214 0.250 0.246
2 Pm 0.786 0.750 0.754
3 Y 0.311 0.750 0.908
4 Y 0.689 0.250 0.092
5 Pa 0.209 0.250 0.599
6 Pa 0.791 0.750 0.401
7 N 0.087 0.250 0.801
8 N 0.190 0.750 0.448
9 N 0.428 0.750 0.131
10 N 0.572 0.250 0.869
11 N 0.810 0.250 0.552
12 N 0.913 0.750 0.199

M_tot in μB/f.u.: 0.24
VASP energy in eV/f.u.: -53.4

[10]
A geometry-optimized PmYPa2N4 structure, computed with PBE.

Cell lengths 6.081, 6.081, 6.081 Å; angles 131.51, 131.51, 71.00 degrees
Fractional positions:
1 Pm 0.000 0.000 0.000
2 Y 0.750 0.250 0.500
3 Pa 0.250 0.750 0.500
4 Pa 0.500 0.500 0.000
5 N 0.010 0.510 0.500
6 N 0.263 0.263 0.000
7 N 0.490 0.990 0.500
8 N 0.737 0.737 0.000

M_tot in μB/f.u.: 0.00
VASP energy in eV/f.u.: -76.3

[11]
A geometry-optimized PmY3Pa2N6 structure, computed with PBE.

Cell lengths 6.085, 6.085, 6.064 Å; angles 99.62, 99.62, 119.99 degrees
Fractional positions:
1 Pm 0.000 0.000 0.000
2 Y 0.165 0.835 0.500
3 Y 0.500 0.500 0.500
4 Y 0.835 0.165 0.500
5 Pa 0.333 0.667 0.000
6 Pa 0.667 0.333 0.000
7 N 0.080 0.433 0.240
8 N 0.270 0.270 0.757
9 N 0.433 0.080 0.240
10 N 0.567 0.920 0.760
11 N 0.730 0.730 0.243
12 N 0.920 0.567 0.760

M_tot in μB/f.u.: 0.00
VASP energy in eV/f.u.: -113.0

[12]
A geometry-optimized Pm3YPa2N6 structure, computed with PBE.

Cell lengths 6.136, 6.136, 6.172 Å; angles 99.52, 99.52, 120.03 degrees
Fractional positions:
1 Pm 0.000 0.000 0.000
2 Pm 0.334 0.666 0.000
3 Pm 0.666 0.334 0.000
4 Y 0.500 0.500 0.500
5 Pa 0.167 0.833 0.500
6 Pa 0.833 0.167 0.500
7 N 0.080 0.426 0.278
8 N 0.228 0.228 0.722
9 N 0.426 0.080 0.278
10 N 0.574 0.920 0.722
11 N 0.772 0.772 0.278
12 N 0.920 0.574 0.722

M_tot in μB/f.u.: 0.00
VASP energy in eV/f.u.: -109.1

[13]
A geometry-optimized Pm2YPaN4 structure, computed with PBE.

Cell lengths 6.095, 3.558, 6.161 Å; angles 90.00, 109.11, 90.00 degrees
Fractional positions:
1 Pm 0.000 0.000 0.000
2 Pm 0.500 0.500 0.000
3 Y 0.000 0.500 0.500
4 Pa 0.500 0.000 0.500
5 N 0.258 0.000 0.728
6 N 0.267 0.500 0.276
7 N 0.733 0.500 0.724
8 N 0.742 0.000 0.272

M_tot in μB/f.u.: 0.00
VASP energy in eV/f.u.: -71.6

[14]
A geometry-optimized Pm2ZrPaN4 structure, computed with PBE.

Cell lengths 5.990, 3.483, 6.085 Å; angles 90.00, 108.93, 90.00 degrees
Fractional positions:
1 Pm 0.000 0.000 0.000
2 Pm 0.500 0.500 0.000
3 Zr 0.000 0.500 0.500
4 Pa 0.500 0.000 0.500
5 N 0.239 0.000 0.715
6 N 0.256 0.500 0.282
7 N 0.744 0.500 0.718
8 N 0.761 0.000 0.285

M_tot in μB/f.u.: 0.00
VASP energy in eV/f.u.: -73.7

[15]
A geometry-optimized Pm3Zr2PaN6 structure, computed with PBE.

Cell lengths 5.967, 5.967, 6.069 Å; angles 99.38, 99.38, 120.09 degrees
Fractional positions:
1 Pm 0.000 0.000 0.000
2 Pm 0.331 0.669 0.000
3 Pm 0.669 0.331 0.000
4 Zr 0.166 0.834 0.500
5 Zr 0.834 0.166 0.500
6 Pa 0.500 0.500 0.500
7 N 0.093 0.427 0.281
8 N 0.238 0.238 0.715
9 N 0.427 0.093 0.281
10 N 0.573 0.907 0.719
11 N 0.762 0.762 0.285
12 N 0.907 0.573 0.719

M_tot in μB/f.u.: 0.00
VASP energy in eV/f.u.: -110.1

[16]
A geometry-optimized Pm3ZrPa3N8 structure, computed with PBE.

Cell lengths 7.028, 7.028, 7.028 Å; angles 59.57, 59.57, 59.57 degrees
Fractional positions:
1 Pm 0.000 0.500 0.500
2 Pm 0.500 0.000 0.500
3 Pm 0.500 0.500 0.000
4 Zr 0.500 0.500 0.500
5 Pa 0.000 0.000 0.500
6 Pa 0.000 0.500 0.000
7 Pa 0.500 0.000 0.000
8 N 0.241 0.241 0.241
9 N 0.246 0.728 0.728
10 N 0.272 0.272 0.754
11 N 0.272 0.754 0.272
12 N 0.728 0.246 0.728
13 N 0.728 0.728 0.246
14 N 0.754 0.272 0.272
15 N 0.759 0.759 0.759

M_tot in μB/f.u.: 0.00
VASP energy in eV/f.u.: -140.6

[17]
A geometry-optimized Pr3Pa5N12 structure, computed with PBE.

Cell lengths 12.212, 12.212, 12.212 Å; angles 109.47, 109.47, 109.47 degrees
Fractional positions:
1 Pr 0.125 0.250 0.375
2 Pr 0.125 0.375 0.750
3 Pr 0.250 0.375 0.125
4 Pr 0.250 0.875 0.625
5 Pr 0.375 0.125 0.250
6 Pr 0.375 0.750 0.125
7 Pr 0.625 0.250 0.875
8 Pr 0.625 0.875 0.750
9 Pr 0.750 0.125 0.375
10 Pr 0.750 0.625 0.875
11 Pr 0.875 0.625 0.250
12 Pr 0.875 0.750 0.625
13 Pa 0.000 0.000 0.000
14 Pa 0.000 0.000 0.500
15 Pa 0.000 0.500 0.000
16 Pa 0.000 0.500 0.500
17 Pa 0.125 0.750 0.875
18 Pa 0.125 0.875 0.250
19 Pa 0.250 0.125 0.875
20 Pa 0.250 0.625 0.375
21 Pa 0.375 0.250 0.625
22 Pa 0.375 0.625 0.750
23 Pa 0.500 0.000 0.000
24 Pa 0.500 0.000 0.500
25 Pa 0.500 0.500 0.000
26 Pa 0.500 0.500 0.500
27 Pa 0.625 0.375 0.250
28 Pa 0.625 0.750 0.375
29 Pa 0.750 0.375 0.625
30 Pa 0.750 0.875 0.125
31 Pa 0.875 0.125 0.750
32 Pa 0.875 0.250 0.125
33 N 0.028 0.201 0.131
34 N 0.028 0.327 0.897
35 N 0.070 0.701 0.673
36 N 0.070 0.869 0.397
37 N 0.103 0.631 0.430
38 N 0.103 0.972 0.673
39 N 0.131 0.028 0.201
40 N 0.131 0.603 0.930
41 N 0.173 0.201 0.570
42 N 0.173 0.472 0.603
43 N 0.201 0.131 0.028
44 N 0.201 0.570 0.173
45 N 0.299 0.327 0.930
46 N 0.299 0.472 0.369
47 N 0.327 0.897 0.028
48 N 0.327 0.930 0.299
49 N 0.369 0.299 0.472
50 N 0.369 0.570 0.897
51 N 0.397 0.070 0.869
52 N 0.397 0.827 0.528
53 N 0.430 0.103 0.631
54 N 0.430 0.827 0.799
55 N 0.472 0.369 0.299
56 N 0.472 0.603 0.173
57 N 0.528 0.397 0.827
58 N 0.528 0.631 0.701
59 N 0.570 0.173 0.201
60 N 0.570 0.897 0.369
61 N 0.603 0.173 0.472
62 N 0.603 0.930 0.131
63 N 0.631 0.430 0.103
64 N 0.631 0.701 0.528
65 N 0.673 0.070 0.701
66 N 0.673 0.103 0.972
67 N 0.701 0.528 0.631
68 N 0.701 0.673 0.070
69 N 0.799 0.430 0.827
70 N 0.799 0.869 0.972
71 N 0.827 0.528 0.397
72 N 0.827 0.799 0.430
73 N 0.869 0.397 0.070
74 N 0.869 0.972 0.799
75 N 0.897 0.028 0.327
76 N 0.897 0.369 0.570
77 N 0.930 0.131 0.603
78 N 0.930 0.299 0.327
79 N 0.972 0.673 0.103
80 N 0.972 0.799 0.869

M_tot in μB/f.u.: 0.00
VASP energy in eV/f.u.: -187.0

[18]
A geometry-optimized Pr4PaN4 structure, computed with PBE.

Cell lengths 7.141, 7.141, 7.141 Å; angles 131.10, 131.10, 71.65 degrees
Fractional positions:
1 Pr 0.000 0.500 0.500
2 Pr 0.212 0.212 0.000
3 Pr 0.500 0.000 0.500
4 Pr 0.788 0.788 0.000
5 Pa 0.500 0.500 0.000
6 N 0.165 0.579 0.000
7 N 0.421 0.421 0.586
8 N 0.579 0.165 0.000
9 N 0.835 0.835 0.414

M_tot in μB/f.u.: 2.77
VASP energy in eV/f.u.: -68.1